No. 1
DFT (GGA-PBE) results for a relaxed structure of Ca2La2Mg.

Summary:
The density is 3.4 g cm⁻³. As for the symmetry: P4/mbm (127). Its excess energy over the best structure of this formula in the dataset is 1.327 kcal/mol of atoms. The crystal system is tetragonal.

```
Ca2La2Mg
1.0
-1.3429 -9.1479 0.7879
8.8962 -1.4933 -2.1762
1.0547 0.2044 4.1713
La Ca Mg
4 4 2
Direct
0.3504 0.1496 0.5000 La
0.1496 0.6496 0.5000 La
0.6496 0.8504 0.5000 La
0.8504 0.3504 0.5000 La
0.6514 0.1514 0.0000 Ca
0.1514 0.3486 0.0000 Ca
0.8486 0.6514 0.0000 Ca
0.3486 0.8486 0.0000 Ca
0.0000 0.0000 0.0000 Mg
0.5000 0.5000 0.0000 Mg
```



No. 2
DFT (GGA-PBE) results for a relaxed structure of Ti2TlHBr.

Summary:
The density is 4.6 g cm⁻³. As for the symmetry: P4/mmm (123). The crystal system is tetragonal. The calculation puts the electronic total energy at -3.466 eV per atom.

```
Ti2TlHBr
1.0
-3.0558 -2.5709 2.4726
1.1316 -3.7864 -2.5384
4.4445 -1.3872 4.0505
Ti Br H Tl
2 1 1 1
Direct
0.0000 0.5000 0.0000 Ti
0.5000 0.0000 0.0000 Ti
0.0000 0.0000 0.0000 Br
0.5000 0.5000 0.5000 H
0.0000 0.0000 0.5000 Tl
```